A plane-wave DFT calculation with PBE-GGA was carried out for a relaxed structure of PdI2Br.

a = 6.4534 Å, b = 6.9008 Å, c = 6.9008 Å
α = 60.18°, β = 90.00°, γ = 90.00°
With the nearest neighbours (Å) after each atom.
Atoms (fractional coordinates):
Pd: 0.0000 0.0000 0.0000  2 Br 2.60, 4 I 2.71-2.80
Pd: 0.5000 0.0000 0.0000  2 Br 2.60, 4 I 2.71-2.80
I: 0.2500 0.3101 0.0099  2 Pd 2.71
I: 0.2500 0.6678 0.3284  2 Pd 2.80
I: 0.7500 0.0099 0.3101  2 Pd 2.71
I: 0.7500 0.3284 0.6678  2 Pd 2.80
Br: 0.2500 0.9941 0.7069  2 Pd 2.60
Br: 0.7500 0.7069 0.9941  2 Pd 2.60

Summary:
* symmetry: Ama2 (40)
* energy: -2.612 eV per atom

***

A plane-wave DFT calculation with PBE-GGA was carried out for a relaxed structure of Lu4TlCdC2.

a = 3.5152 Å, b = 3.5152 Å, c = 15.8898 Å
α = 90.00°, β = 90.00°, γ = 120.00°
With the nearest neighbours (Å) after each atom.
Atoms (fractional coordinates):
Lu: 0.0000 0.0000 0.1673  3 C 2.43
Lu: 0.0000 0.0000 0.8327  3 C 2.43
Lu: 0.3333 0.6667 0.3312  3 C 2.40
Lu: 0.3333 0.6667 0.6688  3 C 2.40
Tl: 0.3333 0.6667 0.0000  6 Lu 3.34, 6 Tl 3.52
Cd: 0.0000 0.0000 0.5000  6 Lu 3.36, 6 Cd 3.52
C: 0.6667 0.3333 0.2509  6 Lu 2.40-2.43
C: 0.6667 0.3333 0.7491  6 Lu 2.40-2.43

Summary:
* symmetry: P-6m2 (187)
* energy: -5.379 eV per atom

***

- What is the formula in the second record?
  Lu4TlCdC2